Record 1
The following is a GGA-PBE calculation of Al2CdSe after structural relaxation, from Alexandria via LeMat-Bulk.

energy relative to the elements, uncorrected: 5 kJ/mol of atoms
ΔE to the lowest computed polymorph: 0.1785 eV/atom

a = 6.3722 Å, b = 6.3722 Å, c = 10.7794 Å
α = 90.00°, β = 90.00°, γ = 90.00°
Space group I-42d (No. 122)
Inequivalent atoms, fractional coordinates:
Al: 0.2361 0.2500 0.1250 [8 per cell]
Cd: 0.0000 0.0000 0.5000 [4 per cell]
Se: 0.0000 0.0000 0.0000 [4 per cell]


Record 2
The following is a GGA-PBE calculation of MgPRuO2 after structural relaxation, from Alexandria via LeMat-Bulk.

energy relative to the elements, uncorrected: 10 kJ/mol of atoms
ΔE to the lowest computed polymorph: 0.6828 eV/atom

a = 3.6424 Å, b = 3.6424 Å, c = 5.5757 Å
α = 90.00°, β = 90.00°, γ = 90.00°
Space group P4/mmm (No. 123)
Inequivalent atoms, fractional coordinates:
Mg: 0.0000 0.0000 0.0000 [1 per cell]
P: 0.0000 0.0000 0.5000 [1 per cell]
Ru: 0.5000 0.5000 0.5000 [1 per cell]
O: 0.0000 0.5000 0.0000 [2 per cell]


Record 3
The following is a GGA-PBE calculation of TaOs8 after structural relaxation, from Alexandria via LeMat-Bulk.

formation energy from the elements: 0.047 eV/atom

a = 8.2858 Å, b = 8.2858 Å, c = 3.8676 Å
α = 90.00°, β = 90.00°, γ = 90.00°
Space group I4/mmm (No. 139)
Inequivalent atoms, fractional coordinates:
Ta: 0.0000 0.0000 0.0000 [2 per cell]
Os: 0.0000 0.3368 0.0000 [8 per cell]
Os: 0.1720 0.1720 0.5000 [8 per cell]


Record 4
The following is a GGA-PBE calculation of YCr2OsRu after structural relaxation, from Alexandria via LeMat-Bulk.

formation energy from the elements: 1.511 eV/atom
ΔE to the lowest computed polymorph: 0.0000 eV/atom

a = 4.3849 Å, b = 4.3849 Å, c = 5.1305 Å
α = 90.00°, β = 90.00°, γ = 90.00°
Space group P4/mmm (No. 123)
Inequivalent atoms, fractional coordinates:
Y: 0.0000 0.0000 0.0000 [1 per cell]
Cr: 0.0000 0.5000 0.5000 [2 per cell]
Os: 0.5000 0.5000 0.0000 [1 per cell]
Ru: 0.0000 0.0000 0.5000 [1 per cell]


Number 1: uncorrected energy -11.7 eV/f.u., V 437.70 Å³ per cell. Number 2: uncorrected energy -25.7 eV/f.u., V 73.97 Å³ per cell. Number 3: uncorrected energy -101.3 eV/f.u., V 265.53 Å³ per cell. Number 4: uncorrected energy -38.7 eV/f.u., V 98.64 Å³ per cell.